## one
AgAs: optimized geometry, GGA-PBEsol.

The structure in CIF format:
```
data_AgAs
_cell_length_a 2.7440
_cell_length_b 12.1655
_cell_length_c 4.3893
_cell_angle_alpha 90.00
_cell_angle_beta 90.00
_cell_angle_gamma 90.00
_space_group_name_H-M_alt 'C m c m'
_space_group_IT_number 63
_space_group_name_Hall '-C 2c 2'
loop_
_atom_site_label
_atom_site_type_symbol
_atom_site_fract_x
_atom_site_fract_y
_atom_site_fract_z
Ag1 Ag 0.0000 0.2030 0.2500
As1 As 0.0000 0.0703 0.7500
```

## two
AgAs: optimized geometry, GGA-PBEsol.

The structure in CIF format:
```
data_AgAs
_cell_length_a 4.0381
_cell_length_b 4.0381
_cell_length_c 5.4760
_cell_angle_alpha 90.00
_cell_angle_beta 90.00
_cell_angle_gamma 120.00
_space_group_name_H-M_alt 'P 63/m m c'
_space_group_IT_number 194
_space_group_name_Hall '-P 6c 2c'
loop_
_atom_site_label
_atom_site_type_symbol
_atom_site_fract_x
_atom_site_fract_y
_atom_site_fract_z
Ag1 Ag 0.0000 0.0000 0.0000
As1 As 0.3333 0.6667 0.2500
```

Which structure wins on stability? one wins.

## one
Ag5As: optimized geometry, GGA-PBEsol.

The structure in CIF format:
```
data_Ag5As
_cell_length_a 2.8506
_cell_length_b 2.8506
_cell_length_c 12.5224
_cell_angle_alpha 90.00
_cell_angle_beta 90.00
_cell_angle_gamma 90.00
_space_group_name_H-M_alt 'P 4/m m m'
_space_group_IT_number 123
_space_group_name_Hall '-P 4 2'
loop_
_atom_site_label
_atom_site_type_symbol
_atom_site_fract_x
_atom_site_fract_y
_atom_site_fract_z
Ag1 Ag 0.0000 0.0000 0.0000
Ag2 Ag 0.0000 0.0000 0.3282
Ag3 Ag 0.5000 0.5000 0.1637
As1 As 0.5000 0.5000 0.5000
```

## two
Ag5As: optimized geometry, GGA-PBEsol.

The structure in CIF format:
```
data_Ag5As
_cell_length_a 10.6229
_cell_length_b 2.8772
_cell_length_c 6.8485
_cell_angle_alpha 90.00
_cell_angle_beta 104.86
_cell_angle_gamma 90.00
_space_group_name_H-M_alt 'C 1 m 1'
_space_group_IT_number 8
loop_
_space_group_symop_operation_xyz
'x,y,z'
'x,-y,z'
'x+1/2,y+1/2,z'
'x+1/2,-y+1/2,z'
loop_
_atom_site_label
_atom_site_type_symbol
_atom_site_fract_x
_atom_site_fract_y
_atom_site_fract_z
Ag1 Ag 0.0000 0.0000 0.0000
Ag2 Ag 0.0528 0.0000 0.6103
Ag3 Ag 0.1661 0.5000 0.3339
Ag4 Ag 0.3304 0.0000 0.6671
Ag5 Ag 0.3905 0.0000 0.2814
As1 As 0.2234 0.5000 0.9503
```

Which structure wins on stability? two wins.

## one
Ag5As: optimized geometry, GGA-PBEsol.

The structure in CIF format:
```
data_Ag5As
_cell_length_a 4.7046
_cell_length_b 2.8622
_cell_length_c 15.0577
_cell_angle_alpha 90.00
_cell_angle_beta 90.00
_cell_angle_gamma 90.00
_space_group_name_H-M_alt 'A m m 2'
_space_group_IT_number 38
loop_
_space_group_symop_operation_xyz
'x,y,z'
'-x,-y,z'
'-x,y,z'
'x,-y,z'
'x,y+1/2,z+1/2'
'-x,-y+1/2,z+1/2'
'-x,y+1/2,z+1/2'
'x,-y+1/2,z+1/2'
loop_
_atom_site_label
_atom_site_type_symbol
_atom_site_fract_x
_atom_site_fract_y
_atom_site_fract_z
Ag1 Ag 0.0000 0.0000 0.0000
Ag2 Ag 0.0000 0.0000 0.3317
Ag3 Ag 0.0000 0.0000 0.6664
Ag4 Ag 0.5000 0.0000 0.1091
Ag5 Ag 0.5000 0.0000 0.7738
As1 As 0.5000 0.0000 0.4399
```

## two
Ag5As: optimized geometry, GGA-PBEsol.

The structure in CIF format:
```
data_Ag5As
_cell_length_a 5.0055
_cell_length_b 5.0055
_cell_length_c 4.6448
_cell_angle_alpha 90.00
_cell_angle_beta 90.00
_cell_angle_gamma 120.00
_space_group_name_H-M_alt 'P -6 2 m'
_space_group_IT_number 189
_space_group_name_Hall 'P -6 -2'
loop_
_atom_site_label
_atom_site_type_symbol
_atom_site_fract_x
_atom_site_fract_y
_atom_site_fract_z
Ag1 Ag 0.0000 0.6681 0.0000
Ag2 Ag 0.3333 0.6667 0.5000
As1 As 0.0000 0.0000 0.5000
```

Which structure wins on stability? two wins.